Entry from Alexandria: crystalline Ta4HgAs at its relaxed geometry (PBE).

## Properties
The total moment is 0.0 μB per cell. The value obtained for the volume is 118.9 Å³ per cell. For the total energy, the calculation gives -0.598 Ry per atom. The calculation puts the formation energy at 0.592 eV/atom.

POSCAR file:
```
Ta4HgAs
1.0
-0.994 -0.443 5.412
-5.040 -1.383 1.776
-0.867 -4.966 2.249
As Ta Hg
1 4 1
Cartesian
-5.176 -5.094 7.078
-5.119 -3.238 4.425
-3.083 -2.765 6.254
-2.583 -2.542 3.531
-3.019 -5.040 4.663
0.000 0.000 0.000
```


Entry from Alexandria: crystalline Ta2HgAs at its relaxed geometry (PBE).

## Properties
The energy above the lowest structure with this stoichiometry is 0.155 eV per atom. The total moment is 0.0 μB per cell. The value obtained for the volume is 74.5 Å³ per cell. For the total energy, the calculation gives -0.510 Ry per atom. The calculation puts the formation energy at 0.224 eV/atom.

POSCAR file:
```
Ta2HgAs
1.0
5.326 0.004 -0.012
4.345 3.081 -0.012
1.025 0.327 4.545
Hg Ta As
1 2 1
Cartesian
2.456 0.783 0.849
8.289 2.644 2.990
9.527 3.039 0.289
5.443 1.736 2.626
```